The following is a DFT calculation (GGA-PBE) of a relaxed Ho2Mn2GaRu5 crystal.

Lattice parameters (Å, degrees): 3.3112 9.9030 9.9030 90.00 90.00 90.00
Last column: nearest neighbours and their distance in Å.
Fractional positions:
Ho 0.0000 0.6746 0.1746  3 Mn 2.78-3.02, 6 Ru 2.95-3.09
Ho 0.0000 0.3254 0.8254  3 Mn 2.78-3.02, 6 Ru 2.95-3.09
Ho 0.0000 0.1746 0.3254  3 Mn 2.78-3.02, 6 Ru 2.95-3.09
Ho 0.0000 0.8254 0.6746  3 Mn 2.78-3.02, 6 Ru 2.95-3.09
Mn 0.0000 0.1272 0.6272  6 Ru 2.43-2.45
Mn 0.0000 0.8728 0.3728  6 Ru 2.43-2.45
Mn 0.0000 0.6272 0.8728  6 Ru 2.43-2.45
Mn 0.0000 0.3728 0.1272  6 Ru 2.43-2.45
Ga 0.0000 0.0000 0.0000  8 Ru 2.67
Ga 0.0000 0.5000 0.5000  8 Ru 2.67
Ru 0.5000 0.2022 0.0634  2 Mn 2.45, 2 Ga 2.67
Ru 0.5000 0.7978 0.9366  2 Mn 2.45, 2 Ga 2.67
Ru 0.5000 0.0634 0.7978  2 Mn 2.45, 2 Ga 2.67
Ru 0.5000 0.7022 0.4366  2 Mn 2.45, 2 Ga 2.67
Ru 0.5000 0.9366 0.2022  2 Mn 2.45, 2 Ga 2.67
Ru 0.5000 0.2978 0.5634  2 Mn 2.45, 2 Ga 2.67
Ru 0.5000 0.5634 0.7022  2 Mn 2.45, 2 Ga 2.67
Ru 0.5000 0.4366 0.2978  2 Mn 2.45, 2 Ga 2.67
Ru 0.5000 0.5000 0.0000  4 Mn 2.43
Ru 0.5000 0.0000 0.5000  4 Mn 2.43

## Properties
* energy: -7.792 eV per atom